(1)
Density functional theory data (PBE) for a relaxed structure of BaTa2Cr.

The calculation puts the energy relative to the elements at 5.99 eV per formula unit.

abc: 5.173 5.173 18.163
angles: 90.00 90.00 90.00
Space group I4_1/amd (No. 141, origin choice 2)
One atom of each set of equivalent atoms:
Ba1 0.000 0.250 0.375 [4 per cell]
Ta1 0.000 0.000 0.000 [8 per cell]
Cr1 0.000 0.250 0.875 [4 per cell]



(2)
Density functional theory data (PBE) for a relaxed structure of MgVBiS2.

As for the energy relative to the elements, uncorrected: 0.7969 eV/atom.

abc: 5.360 5.360 5.245
angles: 90.00 90.00 90.00
Space group P4/mmm (No. 123)
One atom of each set of equivalent atoms:
Mg1 0.000 0.000 0.000 [1 per cell]
V1 0.500 0.500 0.000 [1 per cell]
Bi1 0.500 0.500 0.500 [1 per cell]
S1 0.000 0.500 0.500 [2 per cell]



(3)
Density functional theory data (PBE) for a relaxed structure of NiHg2Sb.

As for the energy relative to the elements, uncorrected: 0.2978 eV/atom.

abc: 4.111 4.111 20.750
angles: 90.00 90.00 90.00
Space group I-42d (No. 122)
One atom of each set of equivalent atoms:
Ni1 0.000 0.000 0.000 [4 per cell]
Hg1 0.235 0.250 0.125 [8 per cell]
Sb1 0.000 0.000 0.500 [4 per cell]



(4)
Density functional theory data (PBE) for a relaxed structure of Ca2SiGe.

As for the energy relative to the elements, uncorrected: -0.0082 eV/atom.

abc: 8.031 8.031 6.329
angles: 90.00 90.00 90.00
Space group I-42d (No. 122)
One atom of each set of equivalent atoms:
Ca1 0.247 0.250 0.125 [8 per cell]
Si1 0.000 0.000 0.000 [4 per cell]
Ge1 0.000 0.000 0.500 [4 per cell]



| no. | energy (eV per atom) | DOS(E_F) (states/eV/cell) |
| --- | --- | --- |
| 1 | -7.32 | 21.20 |
| 2 | -3.77 | 6.45 |
| 3 | -2.33 | 9.71 |
| 4 | -3.52 | 12.94 |